VASP calculation (PBE+U) on crystalline Co3ClF5 at its relaxed geometry.

The structure in POSCAR format:
```
Co3ClF5
1.0
3.3622 -10.8838 0.0000
3.3622 10.8838 0.0000
0.0000 0.0000 3.3793
Co Cl F
6 2 10
Cartesian
0.0000 0.0000 0.0000
3.3622 7.3249 1.6897
3.3622 4.0304 0.0000
3.3622 0.0000 1.6897
3.3622 -4.0304 0.0000
3.3622 -7.3249 1.6897
3.3622 2.3559 1.6897
3.3622 -2.3559 1.6897
1.2833 3.7632 0.0000
3.3622 9.4135 1.6897
3.3622 5.2547 1.6897
2.0197 0.0000 0.0000
1.2833 -3.7632 0.0000
5.4410 3.7632 0.0000
4.7046 0.0000 0.0000
3.3622 -5.2547 1.6897
3.3622 -9.4135 1.6897
5.4410 -3.7632 0.0000
```

Summary:
Its space group is No. 65. As for the raw total energy: -4.669 eV/atom. The total moment is 6.00 μB per formula unit.